# TaAgSe

A relaxed TaAgSe crystal (PBE, the Alexandria database).

ΔE_f (raw) in eV per atom: -0.069
Energy relative to the lowest polymorph listed for this composition in eV per atom: 0.020

Unit cell a=13.0382 b=3.2344 c=5.6367 alpha=90.00 beta=90.00 gamma=90.00
Space group Amm2 (No. 38)
Asymmetric unit:
Ta  0.0000  0.0000  0.0000 x2
Ta  0.5000  0.0000  0.1960 x2
Ag  0.3301  0.0000  0.8532 x4
Se  0.1360  0.0000  0.3311 x4


# NdNiH8Ir2

A relaxed NdNiH8Ir2 crystal (PBE, the Alexandria database).

Unit cell a=4.7130 b=4.7130 c=15.7582 alpha=90.00 beta=90.00 gamma=120.00
Space group R-3m (No. 166, hexagonal axes)
Asymmetric unit:
Nd  0.0000  0.0000  0.0000 x3
Ni  0.0000  0.0000  0.5000 x3
H  0.0000  0.0000  0.3164 x6
H  0.0554  0.5277  0.0878 x18
Ir  0.0000  0.0000  0.2139 x6


# RbPb4Br8

A relaxed RbPb4Br8 crystal (PBE, the Alexandria database).

ΔE_f (raw) in eV per atom: -0.937
Energy relative to the lowest polymorph listed for this composition in eV per atom: 0.000

Unit cell a=9.2299 b=9.2299 c=23.7478 alpha=90.00 beta=90.00 gamma=120.00
Space group R-3m (No. 166, hexagonal axes)
Asymmetric unit:
Rb  0.0000  0.0000  0.0000 x3
Pb  0.0000  0.0000  0.5000 x3
Pb  0.0000  0.5000  0.5000 x9
Br  0.0000  0.0000  0.2330 x6
Br  0.0000  0.5000  0.2348 x18


# KSnBiPb

A relaxed KSnBiPb crystal (PBE, the Alexandria database).

ΔE_f in eV/atom: 0.00
Energy relative to the lowest polymorph listed for this composition in eV per atom: 0.039

Unit cell a=8.0557 b=8.0557 c=8.0557 alpha=90.00 beta=90.00 gamma=90.00
Space group F-43m (No. 216)
Asymmetric unit:
K  0.0000  0.0000  0.0000 x4
Sn  0.2500  0.2500  0.2500 x4
Bi  0.0000  0.0000  0.5000 x4
Pb  0.2500  0.2500  0.7500 x4


# Dy2Er4Mg

A relaxed Dy2Er4Mg crystal (PBE, the Alexandria database).

ΔE_f in eV/atom: 0.21
Energy relative to the lowest polymorph listed for this composition in eV per atom: 0.105

Unit cell a=13.3031 b=19.9334 c=6.6111 alpha=90.00 beta=90.00 gamma=90.00
Space group Ccce (No. 68, origin choice 2)
Asymmetric unit:
Dy  0.0000  0.0013  0.2500 x8
Dy  0.2501  0.2500  0.2500 x8
Er  0.0669  0.1640  0.9995 x16
Er  0.1710  0.1199  0.4999 x16
Mg  0.2500  0.0000  0.2496 x8


# Na3NpF6

A relaxed Na3NpF6 crystal (PBE, the Alexandria database).

ΔE_f (raw) in eV per atom: -2.987
Energy relative to the lowest polymorph listed for this composition in eV per atom: 0.000

Unit cell a=5.9694 b=6.0152 c=10.4432 alpha=90.00 beta=123.35 gamma=90.00
Space group P2_1/c (No. 14)
Asymmetric unit:
Na  0.0000  0.0000  0.0000 x2
Na  0.2185  0.0454  0.7245 x4
Np  0.5000  0.0000  0.5000 x2
F  0.1224  0.1750  0.4529 x4
F  0.2237  0.6926  0.4020 x4
F  0.4014  0.0985  0.2608 x4


# AlGaCu3

A relaxed AlGaCu3 crystal (PBE, the Alexandria database).

ΔE_f in eV/atom: -0.01
Energy relative to the lowest polymorph listed for this composition in eV per atom: 0.075

Unit cell a=4.9141 b=12.6794 c=4.6180 alpha=90.00 beta=90.00 gamma=90.00
Space group Cmcm (No. 63)
Asymmetric unit:
Al  0.0000  0.1820  0.2500 x4
Ga  0.0000  0.4284  0.7500 x4
Cu  0.0000  0.0000  0.0000 x4
Cu  0.2455  0.3536  0.2500 x8


# Pm12Pr7Nd

A relaxed Pm12Pr7Nd crystal (PBE, the Alexandria database).

ΔE_f in eV/atom: 0.58
Energy relative to the lowest polymorph listed for this composition in eV per atom: 0.369

Unit cell a=11.6372 b=11.6372 c=11.6372 alpha=90.00 beta=90.00 gamma=90.00
Space group Im-3m (No. 229)
Asymmetric unit:
Pm  0.0000  0.2492  0.2492 x24
Pr  0.0000  0.0000  0.5000 x6
Pr  0.2500  0.2500  0.2500 x8
Nd  0.0000  0.0000  0.0000 x2


# PmYTm2Se4

A relaxed PmYTm2Se4 crystal (PBE, the Alexandria database).

ΔE_f (raw) in eV per atom: -1.731

Unit cell a=7.0124 b=4.0158 c=7.2038 alpha=90.00 beta=108.67 gamma=90.00
Space group P2/m (No. 10)
Asymmetric unit:
Pm  0.0000  0.0000  0.0000 x1
Y  0.5000  0.5000  0.0000 x1
Tm  0.0000  0.5000  0.5000 x1
Tm  0.5000  0.0000  0.5000 x1
Se  0.2503  0.0000  0.7391 x2
Se  0.2589  0.5000  0.2640 x2


# Zr2ScAl

A relaxed Zr2ScAl crystal (PBE, the Alexandria database).

ΔE_f in eV/atom: -0.14

Unit cell a=3.0668 b=5.1883 c=5.4915 alpha=90.00 beta=97.50 gamma=90.00
Space group P2/m (No. 10)
Asymmetric unit:
Zr  0.1971  0.0000  0.2619 x2
Sc  0.5000  0.5000  0.0000 x1
Al  0.0000  0.5000  0.5000 x1


# DyTeS4

A relaxed DyTeS4 crystal (PBE, the Alexandria database).

ΔE_f (raw) in eV per atom: -0.656

Unit cell a=12.6264 b=3.8373 c=6.7932 alpha=90.00 beta=100.80 gamma=90.00
Space group C2/m (No. 12)
Asymmetric unit:
Dy  0.0000  0.0000  0.0000 x2
Te  0.0000  0.5000  0.5000 x2
S  0.1172  0.5000  0.8524 x4
S  0.1204  0.0000  0.3873 x4


# Ni2OsW

A relaxed Ni2OsW crystal (PBE, the Alexandria database).

ΔE_f in eV/atom: -0.03
Energy relative to the lowest polymorph listed for this composition in eV per atom: 0.000

Unit cell a=5.3037 b=5.3117 c=7.4403 alpha=90.00 beta=90.00 gamma=90.00
Space group F222 (No. 22)
Asymmetric unit:
Ni  0.0000  0.0000  0.0000 x4
Ni  0.2500  0.2500  0.2500 x4
Os  0.0000  0.0000  0.5000 x4
W  0.2500  0.2500  0.7500 x4


# LiDy2Tm

A relaxed LiDy2Tm crystal (PBE, the Alexandria database).

ΔE_f in eV/atom: 0.07
Energy relative to the lowest polymorph listed for this composition in eV per atom: 0.000

Unit cell a=3.5792 b=3.5792 c=8.7848 alpha=90.00 beta=90.00 gamma=90.00
Space group P4/mmm (No. 123)
Asymmetric unit:
Li  0.0000  0.0000  0.0000 x1
Dy  0.5000  0.5000  0.2263 x2
Tm  0.0000  0.0000  0.5000 x1


# KMg4Ag

A relaxed KMg4Ag crystal (PBE, the Alexandria database).

ΔE_f in eV/atom: 0.17

Unit cell a=8.5713 b=8.5713 c=8.5713 alpha=90.00 beta=90.00 gamma=90.00
Space group F-43m (No. 216)
Asymmetric unit:
K  0.0000  0.0000  0.0000 x4
Mg  0.1233  0.1233  0.6233 x16
Ag  0.2500  0.2500  0.2500 x4


# TbEuY

A relaxed TbEuY crystal (PBE, the Alexandria database).

ΔE_f in eV/atom: 0.05
Energy relative to the lowest polymorph listed for this composition in eV per atom: 0.000

Unit cell a=3.6529 b=3.6529 c=8.9459 alpha=90.00 beta=90.00 gamma=120.00
Space group P3m1 (No. 156)
Asymmetric unit:
Tb  0.0000  0.0000  0.0000 x1
Eu  0.3333  0.6667  0.6557 x1
Y  0.6667  0.3333  0.3109 x1


# AuN2F

A relaxed AuN2F crystal (PBE, the Alexandria database).

ΔE_f (raw) in eV per atom: 1.812
Energy relative to the lowest polymorph listed for this composition in eV per atom: 2.057

Unit cell a=5.6859 b=5.6859 c=6.4680 alpha=90.00 beta=90.00 gamma=90.00
Space group I-42d (No. 122)
Asymmetric unit:
Au  0.0000  0.0000  0.0000 x4
N  0.2026  0.7500  0.1250 x8
F  0.0000  0.0000  0.5000 x4


# La2FeTc

A relaxed La2FeTc crystal (PBE, the Alexandria database).

ΔE_f in eV/atom: 0.24
Energy relative to the lowest polymorph listed for this composition in eV per atom: 0.179

Unit cell a=3.2775 b=3.2775 c=8.7851 alpha=90.00 beta=90.00 gamma=90.00
Space group P4mm (No. 99)
Asymmetric unit:
La  0.0000  0.0000  0.0000 x1
La  0.5000  0.5000  0.4009 x1
Fe  0.5000  0.5000  0.7628 x1
Tc  0.0000  0.0000  0.6387 x1


# PmErGeH

A relaxed PmErGeH crystal (PBE, the Alexandria database).

Unit cell a=4.3879 b=4.3879 c=8.3798 alpha=90.00 beta=90.00 gamma=90.00
Space group P4/nmm (No. 129, origin choice 2)
Asymmetric unit:
Pm  0.2500  0.2500  0.1260 x2
Er  0.2500  0.7500  0.5000 x2
Ge  0.2500  0.2500  0.7336 x2
H  0.2500  0.7500  0.0000 x2


# Be2CuRh

A relaxed Be2CuRh crystal (PBE, the Alexandria database).

ΔE_f in eV/atom: -0.12

Unit cell a=2.6639 b=2.6639 c=21.7960 alpha=90.00 beta=90.00 gamma=120.00
Space group R-3m (No. 166, hexagonal axes)
Asymmetric unit:
Be  0.0000  0.0000  0.2482 x6
Cu  0.0000  0.0000  0.0000 x3
Rh  0.0000  0.0000  0.5000 x3


# ZnAg2Rh

A relaxed ZnAg2Rh crystal (PBE, the Alexandria database).

ΔE_f in eV/atom: 0.09

Unit cell a=2.8205 b=4.1044 c=5.5162 alpha=90.00 beta=90.00 gamma=90.00
Space group Pmmm (No. 47)
Asymmetric unit:
Zn  0.0000  0.0000  0.0000 x1
Ag  0.5000  0.5000  0.2490 x2
Rh  0.0000  0.0000  0.5000 x1


Number 1: VASP energy -0.2253 hartree per atom, mass density 10.28 g cm⁻³. Number 2: VASP energy -0.1755 hartree per atom, mass density 9.79 g cm⁻³. Number 3: VASP energy -0.1169 hartree per atom, mass density 4.42 g cm⁻³. Number 4: VASP energy -0.1166 hartree per atom, mass density 7.29 g cm⁻³. Number 5: VASP energy -0.1447 hartree per atom, mass density 7.72 g cm⁻³. Number 6: VASP energy -0.2131 hartree per atom, mass density 4.45 g cm⁻³. Number 7: VASP energy -0.1405 hartree per atom, mass density 6.63 g cm⁻³. Number 8: VASP energy -0.1536 hartree per atom, mass density 6.05 g cm⁻³. Number 9: VASP energy -0.2202 hartree per atom, mass density 7.67 g cm⁻³. Number 10: VASP energy -0.2546 hartree per atom, mass density 4.88 g cm⁻³. Number 11: VASP energy -0.1726 hartree per atom, mass density 4.30 g cm⁻³. Number 12: VASP energy -0.3296 hartree per atom, mass density 15.57 g cm⁻³. Number 13: VASP energy -0.1406 hartree per atom, mass density 7.39 g cm⁻³. Number 14: VASP energy -0.0569 hartree per atom, mass density 2.58 g cm⁻³. Number 15: VASP energy -0.2598 hartree per atom, mass density 6.42 g cm⁻³. Number 16: VASP energy -0.1337 hartree per atom, mass density 7.75 g cm⁻³. Number 17: VASP energy -0.2546 hartree per atom, mass density 7.60 g cm⁻³. Number 18: VASP energy -0.1817 hartree per atom, mass density 7.94 g cm⁻³. Number 19: VASP energy -0.1780 hartree per atom, mass density 6.86 g cm⁻³. Number 20: VASP energy -0.1284 hartree per atom, mass density 9.99 g cm⁻³.